Density functional theory data (GGA-PBE) for LiPmAl2 after structural relaxation.

Structure (POSCAR):
```
LiPmAl2
1.0
4.325 0.000 0.000
0.000 4.325 0.000
0.000 0.000 4.575
Li Pm Al
1 1 2
Direct
0.000 0.000 0.000
0.500 0.500 0.000
0.000 0.500 0.500
0.500 0.000 0.500
```

Computed properties:
formation energy from the elements	-82.0	kJ/mol of formula units
space-group type	No. 123
total energy	-3.75	eV per atom